Record 1
# CsBIr3 PBE relaxed
# Energy of formation from the pure elements, eV/f.u.: 4.9
# Distance to the lowest polymorph of the same formula, meV/atom: 0
data_CsBIr3
_cell_length_a 4.384
_cell_length_b 4.384
_cell_length_c 4.384
_cell_angle_alpha 90.00
_cell_angle_beta 90.00
_cell_angle_gamma 90.00
_symmetry_space_group_name_H-M 'P m -3 m'
_symmetry_Int_Tables_number 221
_symmetry_space_group_name_Hall '-P 4 2 3'
loop_
_atom_site_label
_atom_site_fract_x
_atom_site_fract_y
_atom_site_fract_z
Cs1 0.000 0.000 0.000
B1 0.500 0.500 0.500
Ir1 0.000 0.500 0.500

=====

Record 2
# InReP PBE relaxed
# Energy of formation from the pure elements, eV/f.u.: 0.8
# Distance to the lowest polymorph of the same formula, meV/atom: 206
data_InReP
_cell_length_a 4.0726
_cell_length_b 4.0726
_cell_length_c 3.6813
_cell_angle_alpha 90.00
_cell_angle_beta 90.00
_cell_angle_gamma 120.00
_symmetry_space_group_name_H-M 'P -6 m 2'
_symmetry_Int_Tables_number 187
_symmetry_space_group_name_Hall 'P -6 2'
loop_
_atom_site_label
_atom_site_fract_x
_atom_site_fract_y
_atom_site_fract_z
In1 0.0000 0.0000 0.0000
Re1 0.3333 0.6667 0.5000
P1 0.6667 0.3333 0.5000

=====

Record 3
# TaTe2I PBE relaxed
# E_form (uncorrected), meV per atom: -231.1
# Distance to the lowest polymorph of the same formula, meV/atom: 0
data_TaTe2I
_cell_length_a 6.707
_cell_length_b 3.727
_cell_length_c 10.446
_cell_angle_alpha 90.00
_cell_angle_beta 100.40
_cell_angle_gamma 90.00
_symmetry_space_group_name_H-M 'P 1 21/m 1'
_symmetry_Int_Tables_number 11
_symmetry_space_group_name_Hall '-P 2yb'
loop_
_atom_site_label
_atom_site_fract_x
_atom_site_fract_y
_atom_site_fract_z
Ta1 0.179 0.250 0.011
Te1 0.134 0.750 0.204
Te2 0.392 0.750 0.873
I1 0.266 0.750 0.597

=====

Record 4
# MgRuPt2 PBE relaxed
# Energy of formation from the pure elements, eV/f.u.: -1.3
data_MgRuPt2
_cell_length_a 9.266
_cell_length_b 2.778
_cell_length_c 4.819
_cell_angle_alpha 90.00
_cell_angle_beta 99.34
_cell_angle_gamma 90.00
_symmetry_space_group_name_H-M 'C 1 m 1'
_symmetry_Int_Tables_number 8
_symmetry_space_group_name_Hall 'C -2y'
loop_
_atom_site_label
_atom_site_fract_x
_atom_site_fract_y
_atom_site_fract_z
Mg1 0.000 0.000 0.000
Ru1 0.247 0.000 0.700
Pt1 0.003 0.500 0.510
Pt2 0.248 0.500 0.209

=====

Record 5
# TaAl2PdS PBE relaxed
# E_form (uncorrected), meV per atom: 364.9
data_TaAl2PdS
_cell_length_a 4.492
_cell_length_b 4.492
_cell_length_c 4.477
_cell_angle_alpha 90.00
_cell_angle_beta 90.00
_cell_angle_gamma 90.00
_symmetry_space_group_name_H-M 'P 4/m m m'
_symmetry_Int_Tables_number 123
_symmetry_space_group_name_Hall '-P 4 2'
loop_
_atom_site_label
_atom_site_fract_x
_atom_site_fract_y
_atom_site_fract_z
Ta1 0.000 0.000 0.000
Al1 0.000 0.500 0.500
Pd1 0.500 0.500 0.000
S1 0.000 0.000 0.500

=====

Record 6
# Cd4AgHg2 PBE relaxed
# Energy of formation from the pure elements, eV/f.u.: 1.2
# Distance to the lowest polymorph of the same formula, meV/atom: 128
data_Cd4AgHg2
_cell_length_a 5.437
_cell_length_b 5.437
_cell_length_c 14.320
_cell_angle_alpha 90.00
_cell_angle_beta 90.00
_cell_angle_gamma 90.00
_symmetry_space_group_name_H-M 'I 4/m m m'
_symmetry_Int_Tables_number 139
_symmetry_space_group_name_Hall '-I 4 2'
loop_
_atom_site_label
_atom_site_fract_x
_atom_site_fract_y
_atom_site_fract_z
Cd1 0.000 0.000 0.108
Cd2 0.000 0.500 0.000
Ag1 0.000 0.000 0.500
Hg1 0.000 0.000 0.306

=====

no.,total moment (μB per atom),raw total energy (eV per atom),ρ (g/cm3)
1,0.000,-5.845,14.20
2,0.000,-6.610,10.43
3,0.000,-5.153,7.28
4,0.000,-6.070,13.99
5,0.000,-5.367,6.86
6,0.000,-0.844,7.52